# 1
VASP calculation (PBE) on crystalline CrReAs2 at its relaxed geometry.

Results
**V**: 60.2 Å³ per cell
**Spin magnetization**: 1.2 μB per formula unit
**Formation energy from the elements**: 0.44 eV per atom
**DOS at the Fermi energy**: 2.61 states/eV per cell
**E_tot**: -7.406 eV/atom

a b c (Å): 4.731 4.731 4.731
angles (deg): 130.27 130.27 72.97
Atoms (fractional coordinates):
Cr 0.000 0.000 0.000
Re 0.250 0.750 0.500
As 0.500 0.500 0.000
As 0.750 0.250 0.500


# 2
VASP calculation (PBE) on crystalline CrRe2AsRh at its relaxed geometry.

Results
**V**: 86.7 Å³ per cell
**Spin magnetization**: 0.0 μB per formula unit
**Formation energy from the elements**: 1.54 eV per atom
**DOS at the Fermi energy**: 9.26 states/eV per cell
**E_tot**: -7.765 eV/atom

a b c (Å): 4.497 4.497 4.288
angles (deg): 90.00 90.00 90.00
Atoms (fractional coordinates):
Cr 0.000 0.000 0.000
Re 0.000 0.500 0.500
Re 0.500 0.000 0.500
As 0.000 0.000 0.500
Rh 0.500 0.500 0.000


# 3
VASP calculation (PBE) on crystalline CrReAsSe2 at its relaxed geometry.

Results
**V**: 106.2 Å³ per cell
**Formation energy without anion corrections**: 554 kJ/mol of formula units
**Spin magnetization**: 5.7 μB per formula unit
**DOS at the Fermi energy**: 4.12 states/eV per cell
**E_tot**: -5.590 eV/atom

a b c (Å): 4.757 4.757 4.693
angles (deg): 90.00 90.00 90.00
Atoms (fractional coordinates):
Cr 0.000 0.000 0.000
Re 0.500 0.500 0.500
As 0.000 0.000 0.500
Se 0.000 0.500 0.000
Se 0.500 0.000 0.000


# 4
VASP calculation (PBE) on crystalline CrRe2SiAs at its relaxed geometry.

Results
**V**: 94.0 Å³ per cell
**Formation energy without anion corrections**: 977 kJ/mol of formula units
**Spin magnetization**: 0.2 μB per formula unit
**DOS at the Fermi energy**: 6.41 states/eV per cell
**E_tot**: -6.894 eV/atom

a b c (Å): 4.541 4.541 4.560
angles (deg): 90.00 90.00 90.00
Atoms (fractional coordinates):
Cr 0.000 0.000 0.000
Re 0.000 0.500 0.500
Re 0.500 0.000 0.500
Si 0.500 0.500 0.000
As 0.500 0.500 0.500


Q: Among the records above, which one has the lowest E_tot?
A: CrRe2AsRh


Q: Which of these has the highest E_tot?
A: CrReAsSe2


Q: What is the formula in the first record?
A: CrReAs2